1.
Density functional theory data (GGA-PBE) for crystalline PrMg4Au at its relaxed geometry.

The space group is Pmma (No. 51) and the conventional cell measures 8.707, 4.362 and 7.640 Å, with angles of 90.00, 90.00 and 90.00 degrees. The asymmetric unit holds Pr at (0.250, 0.000, 0.107), Mg at (0.000, 0.000, 0.500), Mg at (0.059, 0.500, 0.806), Mg at (0.250, 0.500, 0.449) and Au at (0.250, 0.000, 0.704).

As for the crystal system: orthorhombic. The value obtained for the formation energy from the elements is -0.346 eV per atom.

2.
Density functional theory data (GGA-PBE) for crystalline PrMgAu at its relaxed geometry.

The space group is F-43m (No. 216) and the conventional cell measures 6.967, 6.967 and 6.967 Å, with angles of 90.00, 90.00 and 90.00 degrees. The asymmetric unit holds Pr at (0.000, 0.000, 0.000), Mg at (0.000, 0.000, 0.500) and Au at (0.250, 0.250, 0.750).

As for the crystal system: cubic. The value obtained for the formation energy from the elements is -0.481 eV per atom.

3.
Density functional theory data (GGA-PBE) for crystalline Pr6MgAu3 at its relaxed geometry.

The space group is Cmc2_1 (No. 36) and the conventional cell measures 12.338, 13.839 and 7.261 Å, with angles of 90.00, 90.00 and 90.00 degrees. The asymmetric unit holds Pr at (0.000, 0.056, 0.000), Pr at (0.000, 0.230, 0.568), Pr at (0.167, 0.460, 0.452), Pr at (0.232, 0.204, 0.282), Mg at (0.000, 0.323, 0.103), Au at (0.000, 0.415, 0.764) and Au at (0.172, 0.087, 0.666).

As for the crystal system: orthorhombic. The value obtained for the formation energy from the elements is -0.418 eV per atom.

| no. | E_tot (eV/cell) |
| --- | --- |
| 1 | -33.0 |
| 2 | -44.4 |
| 3 | -177.1 |